The following is a GGA-PBE calculation of a geometry-optimized In2AgSn structure, from Alexandria.

## Properties
* formation energy: 0.04 eV/atom
* relative energy among the computed polymorphs: 0 meV/atom

Cell: 3.316 3.316 8.880 Å, 90.00 90.00 90.00°
Fractional positions:
In 0.000 0.000 0.222
In 0.000 0.000 0.778
Ag 0.500 0.500 0.000
Sn 0.500 0.500 0.500


The following is a GGA-PBE calculation of a geometry-optimized ScGaTc2C structure, from Alexandria.

## Properties
* formation energy: -0.20 eV/atom

Cell: 4.081 4.081 4.366 Å, 90.00 90.00 90.00°
Fractional positions:
Sc 0.000 0.000 0.000
Ga 0.500 0.500 0.000
Tc 0.000 0.500 0.500
Tc 0.500 0.000 0.500
C 0.000 0.000 0.500


The following is a GGA-PBE calculation of a geometry-optimized AcLa2Hg structure, from Alexandria.

## Properties
* formation energy: -0.16 eV/atom
* relative energy among the computed polymorphs: 95 meV/atom

Cell: 5.086 5.086 5.218 Å, 90.00 90.00 90.00°
Fractional positions:
Ac 0.000 0.000 0.000
La 0.000 0.500 0.500
La 0.500 0.000 0.500
Hg 0.500 0.500 0.000


The following is a GGA-PBE calculation of a geometry-optimized Ga2Si2Ge structure, from Alexandria.

## Properties
* E_form (uncorrected): 0.36 eV/atom
* relative energy among the computed polymorphs: 88 meV/atom

Cell: 7.720 7.720 2.963 Å, 90.00 90.00 90.00°
Fractional positions:
Ga 0.167 0.333 0.000
Ga 0.333 0.833 0.000
Ga 0.667 0.167 0.000
Ga 0.833 0.667 0.000
Si 0.127 0.627 0.500
Si 0.373 0.127 0.500
Si 0.627 0.873 0.500
Si 0.873 0.373 0.500
Ge 0.000 0.000 0.000
Ge 0.500 0.500 0.000


The following is a GGA-PBE calculation of a geometry-optimized AgPbS2Cl structure, from Alexandria.

## Properties
* E_form (uncorrected): 0.30 eV/atom
* relative energy among the computed polymorphs: 280 meV/atom

Cell: 5.149 5.149 5.457 Å, 90.00 90.00 90.00°
Fractional positions:
Ag 0.000 0.000 0.000
Pb 0.500 0.500 0.500
S 0.000 0.500 0.500
S 0.500 0.000 0.500
Cl 0.500 0.500 0.000


The following is a GGA-PBE calculation of a geometry-optimized Sr6P2PbI3 structure, from Alexandria.

## Properties
* E_form (uncorrected): -1.23 eV/atom

Cell: 10.801 10.801 9.875 Å, 104.61 104.61 23.97°
Fractional positions:
Sr 0.022 0.022 0.254
Sr 0.318 0.318 0.443
Sr 0.336 0.336 0.868
Sr 0.664 0.664 0.132
Sr 0.682 0.682 0.557
Sr 0.978 0.978 0.746
P 0.170 0.170 0.344
P 0.830 0.830 0.656
Pb 0.500 0.500 0.000
I 0.168 0.168 0.830
I 0.500 0.500 0.500
I 0.832 0.832 0.170


The following is a GGA-PBE calculation of a geometry-optimized KSr2HfHg structure, from Alexandria.

## Properties
* formation energy: 1.23 eV/atom

Cell: 6.131 6.131 5.465 Å, 90.00 90.00 90.00°
Fractional positions:
K 0.000 0.000 0.000
Sr 0.000 0.500 0.000
Sr 0.500 0.000 0.000
Hf 0.500 0.500 0.500
Hg 0.000 0.000 0.500


The following is a GGA-PBE calculation of a geometry-optimized Na2AcTiO4 structure, from Alexandria.

## Properties
* E_form (uncorrected): -2.46 eV/atom

Cell: 7.569 7.787 4.856 Å, 90.00 90.00 90.00°
Fractional positions:
Na 0.228 0.114 0.000
Na 0.272 0.886 0.500
Na 0.728 0.886 0.500
Na 0.772 0.114 0.000
Ac 0.000 0.635 0.015
Ac 0.500 0.365 0.515
Ti 0.000 0.297 0.453
Ti 0.500 0.703 0.953
O 0.000 0.316 0.079
O 0.000 0.531 0.526
O 0.222 0.200 0.527
O 0.278 0.800 0.027
O 0.500 0.469 0.026
O 0.500 0.684 0.579
O 0.722 0.800 0.027
O 0.778 0.200 0.527


The following is a GGA-PBE calculation of a geometry-optimized CsUCd2I8 structure, from Alexandria.

## Properties
* E_form (uncorrected): -0.80 eV/atom

Cell: 7.717 7.717 11.222 Å, 90.00 90.00 120.00°
Fractional positions:
Cs 0.000 0.000 0.000
U 0.000 0.000 0.500
Cd 0.333 0.667 0.752
Cd 0.667 0.333 0.248
I 0.019 0.685 0.334
I 0.315 0.335 0.334
I 0.333 0.667 0.997
I 0.335 0.019 0.666
I 0.665 0.981 0.334
I 0.667 0.333 0.003
I 0.685 0.665 0.666
I 0.981 0.315 0.666


For each record above, in turn, the calculated spin magnetization values are 0.00; 0.00; 0.00; 0.00; 0.00; 0.29; 2.04; 1.52; 3.00 μB per cell.